Compound: Pd6Pt3Rh
Source: the Alexandria database
Functional: PBE-GGA
Structure: optimized geometry

abc: 5.119 5.119 7.157
angles: 90.00 90.00 120.00
Sites, in units of the cell vectors:
Pt  0.000  0.000  0.500
Pt  0.667  0.333  0.500
Pd  0.585  0.585  0.815
Pd  0.000  0.415  0.815
Pd  0.585  0.000  0.185
Pd  0.415  0.415  0.185
Pd  0.415  0.000  0.815
Pd  0.000  0.585  0.185
Pt  0.333  0.667  0.500
Rh  0.000  0.000  0.000

**Formation energy from the elements**: 0.2893 eV per atom
**Volume**: 16.25 A^3/atom
**Symmetry**: P-31m (162)
**Final energy**: -5.374 eV per atom
**Size of the total moment**: 0.0 μB per formula unit
**Crystal system**: trigonal